Record 1
YTlF4 after structural relaxation, computed with PBE-GGA.

Unit cell a=7.0793 b=5.7516 c=6.3922 alpha=90.00 beta=103.98 gamma=90.00
Element x y z (fractional)
Y1 0.0000 0.0000 0.0000
Y2 0.0000 0.5000 0.5000
Tl1 0.5000 0.0000 0.5000
Tl2 0.5000 0.5000 0.0000
F1 0.0858 0.2425 0.2790
F2 0.0858 0.2575 0.7790
F3 0.2944 0.6300 0.5927
F4 0.2944 0.8700 0.0927
F5 0.7056 0.1300 0.9073
F6 0.7056 0.3700 0.4073
F7 0.9142 0.7425 0.2210
F8 0.9142 0.7575 0.7210

Energy relative to the elements, uncorrected (eV per formula unit): -19.90
SG: P2_1/c (14)
Theoretical density (kg/m³): 4856

***

Record 2
YTl3F6 after structural relaxation, computed with PBE-GGA.

Unit cell a=6.5765 b=6.9011 c=11.4725 alpha=90.00 beta=124.19 gamma=90.00
Element x y z (fractional)
Y1 0.0000 0.0000 0.0000
Y2 0.0000 0.5000 0.5000
Tl1 0.2668 0.0400 0.7541
Tl2 0.2668 0.4600 0.2541
Tl3 0.5000 0.0000 0.5000
Tl4 0.5000 0.5000 0.0000
Tl5 0.7332 0.5400 0.7459
Tl6 0.7332 0.9600 0.2459
F1 0.1029 0.0528 0.2167
F2 0.1029 0.4472 0.7167
F3 0.2248 0.7342 0.0688
F4 0.2248 0.7658 0.5688
F5 0.3259 0.1638 0.0468
F6 0.3259 0.3362 0.5468
F7 0.6741 0.6638 0.4532
F8 0.6741 0.8362 0.9532
F9 0.7752 0.2342 0.4312
F10 0.7752 0.2658 0.9312
F11 0.8971 0.5528 0.2833
F12 0.8971 0.9472 0.7833

Energy relative to the elements, uncorrected (eV per formula unit): -27.11
SG: P2_1/c (14)
Theoretical density (kg/m³): 6292

***

Record 3
YTl4F7 after structural relaxation, computed with PBE-GGA.

Unit cell a=7.2867 b=7.2867 c=10.2291 alpha=112.55 beta=112.55 gamma=35.46
Element x y z (fractional)
Y1 0.0000 0.0000 0.0000
Tl1 0.1946 0.1946 0.7999
Tl2 0.4055 0.4055 0.6041
Tl3 0.5945 0.5945 0.3959
Tl4 0.8054 0.8054 0.2001
F1 0.0287 0.0287 0.2281
F2 0.1677 0.1677 0.0447
F3 0.4101 0.4101 0.3531
F4 0.5000 0.5000 0.0000
F5 0.5899 0.5899 0.6469
F6 0.8323 0.8323 0.9553
F7 0.9713 0.9713 0.7719

Energy relative to the elements, uncorrected (eV per formula unit): -30.55
SG: C2/m (12)
Theoretical density (kg/m³): 5984

***

Record 4
Y2TlF after structural relaxation, computed with PBE-GGA.

Unit cell a=7.5841 b=7.5841 c=7.5841 alpha=36.66 beta=36.66 gamma=36.66
Element x y z (fractional)
Y1 0.1031 0.1031 0.1031
Y2 0.8969 0.8969 0.8969
Tl1 0.5000 0.5000 0.5000
F1 0.0000 0.0000 0.0000

Energy relative to the elements, uncorrected (eV per formula unit): -5.24
SG: R-3m (166)
E above lowest polymorph (eV/atom): 0.000
Theoretical density (kg/m³): 4783

***

Record 5
YTlF2 after structural relaxation, computed with PBE-GGA.

Unit cell a=7.9034 b=7.9034 c=7.9034 alpha=28.96 beta=28.96 gamma=28.96
Element x y z (fractional)
Y1 0.0000 0.0000 0.0000
Tl1 0.5000 0.5000 0.5000
F1 0.0948 0.0948 0.0948
F2 0.9052 0.9052 0.9052

Energy relative to the elements, uncorrected (eV per formula unit): -8.40
SG: R-3m (166)
E above lowest polymorph (eV/atom): 0.262
Theoretical density (kg/m³): 5373

***

Record 6
Y3TlF after structural relaxation, computed with PBE-GGA.

Unit cell a=4.9112 b=4.9112 c=4.9112 alpha=90.00 beta=90.00 gamma=90.00
Element x y z (fractional)
Y1 0.0000 0.0000 0.5000
Y2 0.0000 0.5000 0.0000
Y3 0.5000 0.0000 0.0000
Tl1 0.5000 0.5000 0.5000
F1 0.0000 0.0000 0.0000

Energy relative to the elements, uncorrected (eV per formula unit): -4.92
SG: Pm-3m (221)
E above lowest polymorph (eV/atom): 0.000
Theoretical density (kg/m³): 6870

***

Record 7
Y2TlF after structural relaxation, computed with PBE-GGA.

Unit cell a=5.1540 b=5.1540 c=5.1540 alpha=60.00 beta=60.00 gamma=60.00
Element x y z (fractional)
Y1 0.2500 0.2500 0.2500
Y2 0.7500 0.7500 0.7500
Tl1 0.0000 0.0000 0.0000
F1 0.5000 0.5000 0.5000

Energy relative to the elements, uncorrected (eV per formula unit): -3.91
SG: Fm-3m (225)
E above lowest polymorph (eV/atom): 0.332
Theoretical density (kg/m³): 6881

***

Record 8
YTlF2 after structural relaxation, computed with PBE-GGA.

Unit cell a=4.6680 b=4.6680 c=4.6680 alpha=60.00 beta=60.00 gamma=60.00
Element x y z (fractional)
Y1 0.0000 0.0000 0.0000
Tl1 0.5000 0.5000 0.5000
F1 0.2500 0.2500 0.2500
F2 0.7500 0.7500 0.7500

Energy relative to the elements, uncorrected (eV per formula unit): -6.81
SG: Fm-3m (225)
E above lowest polymorph (eV/atom): 0.660
Theoretical density (kg/m³): 7649

***

Record 9
YTlF4 after structural relaxation, computed with PBE-GGA.

Unit cell a=3.8982 b=3.8982 c=6.6922 alpha=90.00 beta=90.00 gamma=90.00
Element x y z (fractional)
Y1 0.0000 0.0000 0.0000
Tl1 0.5000 0.5000 0.5000
F1 0.0000 0.5000 0.1895
F2 0.0000 0.5000 0.8105
F3 0.5000 0.0000 0.1895
F4 0.5000 0.0000 0.8105

Energy relative to the elements, uncorrected (eV per formula unit): -19.90
SG: P4/mmm (123)
Theoretical density (kg/m³): 6030

***

Record 10
YTl2F after structural relaxation, computed with PBE-GGA.

Unit cell a=5.1823 b=5.1823 c=5.1823 alpha=60.00 beta=60.00 gamma=60.00
Element x y z (fractional)
Y1 0.0000 0.0000 0.0000
Tl1 0.2500 0.2500 0.2500
Tl2 0.7500 0.7500 0.7500
F1 0.5000 0.5000 0.5000

Energy relative to the elements, uncorrected (eV per formula unit): -2.11
SG: Fm-3m (225)
E above lowest polymorph (eV/atom): 0.509
Theoretical density (kg/m³): 8718

***

Record 11
YTlF2 after structural relaxation, computed with PBE-GGA.

Unit cell a=7.6680 b=7.6680 c=7.6680 alpha=137.80 beta=137.80 gamma=61.21
Element x y z (fractional)
Y1 0.0000 0.0000 0.0000
Y2 0.7500 0.2500 0.5000
Tl1 0.2500 0.7500 0.5000
Tl2 0.5000 0.5000 0.0000
F1 0.3750 0.1153 0.2403
F2 0.8653 0.6250 0.7403
F3 0.8750 0.1347 0.7597
F4 0.8847 0.1250 0.2597

Energy relative to the elements, uncorrected (eV per formula unit): -9.45
SG: I-42d (122)
E above lowest polymorph (eV/atom): 0.000
Theoretical density (kg/m³): 5469

***

Record 12
Y2TlF after structural relaxation, computed with PBE-GGA.

Unit cell a=6.3244 b=6.3244 c=6.3244 alpha=109.92 beta=109.92 gamma=108.57
Element x y z (fractional)
Y1 0.0416 0.6250 0.9166
Y2 0.3750 0.2916 0.4166
Y3 0.7084 0.1250 0.0834
Y4 0.8750 0.9584 0.5834
Tl1 0.2500 0.7500 0.5000
Tl2 0.5000 0.5000 0.0000
F1 0.0000 0.0000 0.0000
F2 0.7500 0.2500 0.5000

Energy relative to the elements, uncorrected (eV per formula unit): -5.19
SG: I-42d (122)
E above lowest polymorph (eV/atom): 0.012
Theoretical density (kg/m³): 6844